1.
An optimized crystal structure of CdPd3I. Source: OQMD via LeMat-Bulk, functional PBE-GGA.

abc: 5.0086 5.0086 5.0086
angles: 90.00 90.00 90.00
With the nearest neighbours (Å) after each atom.
Space group Pm-3m (No. 221)
Symmetry-distinct sites (fractional):
Cd 0.0000 0.0000 0.0000  12 Pd 3.54
Pd 0.0000 0.5000 0.5000  2 I 2.50
I 0.5000 0.5000 0.5000  6 Pd 2.50

Computed properties:
Uncorrected energy   -3.133 eV/atom

2.
An optimized crystal structure of Rb2CdI4. Source: OQMD via LeMat-Bulk, functional PBE-GGA.

abc: 8.0208 8.3873 10.5033
angles: 90.00 109.37 90.00
With the nearest neighbours (Å) after each atom.
Space group P2_1 (No. 4)
Symmetry-distinct sites (fractional):
Rb 0.2052 0.0000 0.0421  6 I 3.66-3.91
Rb 0.2759 0.9987 0.5784  6 I 3.72-3.85
Cd 0.2118 0.5060 0.7900  4 I 2.80-2.83
I 0.0203 0.7426 0.2727  1 Cd 2.82
I 0.0276 0.2645 0.2760  1 Cd 2.83
I 0.3923 0.5130 0.0707  1 Cd 2.82
I 0.4347 0.5105 0.6340  1 Cd 2.80

Computed properties:
Relative energy among the computed polymorphs   5 meV per atom

3.
An optimized crystal structure of Rb2CdI4. Source: OQMD via LeMat-Bulk, functional PBE-GGA.

abc: 8.4349 8.4197 10.2151
angles: 90.00 107.94 90.00
With the nearest neighbours (Å) after each atom.
Space group P2_1/m (No. 11)
Symmetry-distinct sites (fractional):
Rb 0.2260 0.2500 0.0571  6 I 3.70-3.86
Rb 0.2539 0.2500 0.5631  6 I 3.79-3.86
Cd 0.2281 0.7500 0.8037  4 I 2.81-2.83
I 0.9998 0.0069 0.7428  1 Cd 2.83
I 0.4141 0.7500 0.0836  1 Cd 2.81
I 0.4191 0.7500 0.6215  1 Cd 2.81

Computed properties:
Relative energy among the computed polymorphs   0 meV per atom

4.
An optimized crystal structure of Rb2ScCdI6. Source: OQMD via LeMat-Bulk, functional PBE-GGA.

abc: 8.6481 8.6481 19.8071
angles: 90.00 90.00 120.00
With the nearest neighbours (Å) after each atom.
Space group R3 (No. 146, hexagonal axes)
Symmetry-distinct sites (fractional):
Rb 0.0000 0.0000 0.0000  6 I 3.66-4.09
Rb 0.0000 0.0000 0.4621  6 I 3.66-4.03
Sc 0.0000 0.0000 0.7319  6 I 2.92-2.93
Cd 0.0000 0.0000 0.2300  6 I 3.20-3.24
I 0.0279 0.5943 0.4840  1 Sc 2.93, 1 Cd 3.20
I 0.1004 0.3589 0.3146  1 Sc 2.92, 1 Cd 3.24

Computed properties:
Magnetization   0.13 Bohr magnetons per cell
Uncorrected energy   -2.944 eV/atom